The following is a PBE-GGA calculation of an optimized crystal structure of BeReCl2, from the Alexandria database.

The structure in POSCAR format:
```
BeReCl2
1.0
2.8494 0.0000 0.0000
0.0000 3.6749 0.0000
0.0000 0.0000 5.7776
Be Re Cl
1 1 2
direct
0.0000 0.0000 0.0000
0.0000 0.0000 0.5000
0.5000 0.5000 0.2551
0.5000 0.5000 0.7449
```

E, eV per atom: -3.6892
Symmetry: Pmmm (47)
ΔE to the lowest computed polymorph, kcal/mol of atoms: 31.78



The following is a PBE-GGA calculation of an optimized crystal structure of Nd2SmTh3As6, from the Alexandria database.

The structure in POSCAR format:
```
Nd2SmTh3As6
1.0
9.2708 -2.1292 0.0000
9.2708 2.1292 0.0000
-1.9329 0.0000 8.2684
Nd Sm Th As
2 1 3 6
direct
0.1665 0.1665 0.3332
0.8335 0.8335 0.6668
0.5000 0.5000 0.0000
0.1669 0.1669 0.8335
0.5000 0.5000 0.5000
0.8331 0.8331 0.1665
0.0009 0.0009 0.7508
0.3341 0.3341 0.4149
0.3337 0.3337 0.9190
0.6663 0.6663 0.0810
0.6659 0.6659 0.5851
0.9991 0.9991 0.2492
```

E, eV per atom: -6.8432
Symmetry: C2/m (12)
Energy of formation from the pure elements, eV per atom: -1.476